(1)
# Dy3BiS2

A relaxed Dy3BiS2 crystal (PBE-GGA, the Open Quantum Materials Database).

Lattice parameters (Å, degrees): 4.0834 4.0834 10.0474 90.00 90.00 120.00
Atoms (fractional coordinates):
Bi1 0.0000 0.0000 0.0000
Dy1 0.3333 0.6667 0.2023
Dy2 0.0000 0.0000 0.5000
Dy3 0.6667 0.3333 0.7977
S1 0.6667 0.3333 0.3487
S2 0.3333 0.6667 0.6513

## Properties
space-group type = P-3m1, No. 164

(2)
# BeCdAs2

A relaxed BeCdAs2 crystal (PBE-GGA, the Open Quantum Materials Database).

Lattice parameters (Å, degrees): 4.6758 4.6758 4.6758 60.00 60.00 60.00
Atoms (fractional coordinates):
As1 0.0000 0.0000 0.0000
As2 0.2500 0.2500 0.2500
Be1 0.7500 0.7500 0.7500
Cd1 0.5000 0.5000 0.5000

## Properties
space-group type = F-43m, No. 216

(3)
# Ge2IrPd

A relaxed Ge2IrPd crystal (PBE-GGA, the Open Quantum Materials Database).

Lattice parameters (Å, degrees): 3.5987 5.6606 6.3192 90.00 90.00 90.00
Atoms (fractional coordinates):
Ge1 0.5000 0.9457 0.0788
Ge2 0.5000 0.4348 0.4190
Ge3 0.0000 0.0543 0.5788
Ge4 0.0000 0.5652 0.9190
Ir1 0.0000 0.2489 0.1990
Ir2 0.5000 0.7511 0.6990
Pd1 0.0000 0.7467 0.3033
Pd2 0.5000 0.2533 0.8033

## Properties
space-group type = Pmn2_1, No. 31

(4)
# PrHfCu2As4

A relaxed PrHfCu2As4 crystal (PBE-GGA, the Open Quantum Materials Database).

Lattice parameters (Å, degrees): 3.9016 3.9016 9.7472 90.00 90.00 90.00
Atoms (fractional coordinates):
As1 0.5000 0.0000 0.0229
As2 0.0000 0.5000 0.0229
As3 0.0000 0.0000 0.3229
As4 0.5000 0.5000 0.6501
Cu1 0.5000 0.0000 0.4889
Cu2 0.0000 0.5000 0.4889
Hf1 0.5000 0.5000 0.2321
Pr1 0.0000 0.0000 0.7713

## Properties
space-group type = P4mm, No. 99

(5)
# HoScH2Br4

A relaxed HoScH2Br4 crystal (PBE-GGA, the Open Quantum Materials Database).

Lattice parameters (Å, degrees): 3.7128 3.7128 14.6170 90.00 90.00 120.00
Atoms (fractional coordinates):
Br1 0.3333 0.6667 0.1326
Br2 0.6667 0.3333 0.3761
Br3 0.6667 0.3333 0.6239
Br4 0.3333 0.6667 0.8674
H1 0.6667 0.3333 0.0000
H2 0.3333 0.6667 0.5000
Ho1 0.0000 0.0000 0.0000
Sc1 0.0000 0.0000 0.5000

## Properties
space-group type = P-6m2, No. 187

(6)
# ZrGeMo2

A relaxed ZrGeMo2 crystal (PBE-GGA, the Open Quantum Materials Database).

Lattice parameters (Å, degrees): 4.5755 4.5755 4.5755 60.00 60.00 60.00
Atoms (fractional coordinates):
Ge1 0.5000 0.5000 0.5000
Mo1 0.0000 0.0000 0.0000
Mo2 0.7500 0.7500 0.7500
Zr1 0.2500 0.2500 0.2500

## Properties
space-group type = F-43m, No. 216

(7)
# NdNpNb

A relaxed NdNpNb crystal (PBE-GGA, the Open Quantum Materials Database).

Lattice parameters (Å, degrees): 4.8579 4.8579 4.8579 60.00 60.00 60.00
Site moments in Bohr magnetons follow the coordinates.
Atoms (fractional coordinates):
Nb1 0.0000 0.0000 0.0000  -0.57
Nd1 0.2500 0.2500 0.2500  -0.04
Np1 0.7500 0.7500 0.7500  3.51

## Properties
formation energy = 1021 meV/atom
polymorph energy (0 for the lowest one) = 0.0000 eV per atom
space-group type = F-43m, No. 216

(8)
# ErScTa2Ge2

A relaxed ErScTa2Ge2 crystal (PBE-GGA, the Open Quantum Materials Database).

Lattice parameters (Å, degrees): 3.9735 3.9735 7.6011 90.00 90.00 90.00
Site moments in Bohr magnetons follow the coordinates.
Atoms (fractional coordinates):
Er1 0.0000 0.0000 0.3564  0.23
Ge1 0.5000 0.5000 0.2539  -0.01
Ge2 0.0000 0.0000 0.7420  -0.01
Sc1 0.5000 0.5000 0.6533  0.27
Ta1 0.5000 0.0000 0.9971  0.04
Ta2 0.0000 0.5000 0.9971  0.05

## Properties
space-group type = P4mm, No. 99

(9)
# AlCoTcPd

A relaxed AlCoTcPd crystal (PBE-GGA, the Open Quantum Materials Database).

Lattice parameters (Å, degrees): 4.2968 4.2968 4.2968 60.00 60.00 60.00
Site moments in Bohr magnetons follow the coordinates.
Atoms (fractional coordinates):
Al1 0.0000 0.0000 0.0000  -0.02
Co1 0.7500 0.7500 0.7500  1.44
Pd1 0.2500 0.2500 0.2500  0.21
Tc1 0.5000 0.5000 0.5000  1.40

## Properties
polymorph energy (0 for the lowest one) = 0.0000 eV per atom
space-group type = F-43m, No. 216

(10)
# SrAl2Ag

A relaxed SrAl2Ag crystal (PBE-GGA, the Open Quantum Materials Database).

Lattice parameters (Å, degrees): 4.9870 4.9870 4.9870 60.00 60.00 60.00
Atoms (fractional coordinates):
Ag1 0.7500 0.7500 0.7500
Al1 0.2500 0.2500 0.2500
Al2 0.5000 0.5000 0.5000
Sr1 0.0000 0.0000 0.0000

## Properties
space-group type = F-43m, No. 216

(11)
# U3N2F3

A relaxed U3N2F3 crystal (PBE-GGA, the Open Quantum Materials Database).

Lattice parameters (Å, degrees): 6.8239 6.8239 6.8239 36.88 36.88 36.88
Site moments in Bohr magnetons follow the coordinates.
Atoms (fractional coordinates):
F1 0.5000 0.5000 0.0000  0.00
F2 0.5000 0.0000 0.5000  0.00
F3 0.0000 0.5000 0.5000  0.02
N1 0.1972 0.1972 0.1972  -0.14
N2 0.8028 0.8028 0.8028  -0.14
U1 0.0739 0.0739 0.0739  2.85
U2 0.5000 0.5000 0.5000  3.04
U3 0.9261 0.9261 0.9261  2.85

## Properties
space-group type = R-3m, No. 166

(12)
# KYFeSe3

A relaxed KYFeSe3 crystal (PBE-GGA, the Open Quantum Materials Database).

Lattice parameters (Å, degrees): 10.8455 4.1171 14.7453 90.00 90.00 90.00
Site moments in Bohr magnetons follow the coordinates.
Atoms (fractional coordinates):
Fe1 0.2661 0.7500 0.2192  3.24
Fe2 0.7661 0.7500 0.2808  3.24
Fe3 0.2339 0.2500 0.7192  3.24
Fe4 0.7339 0.2500 0.7808  3.24
K1 0.7261 0.7500 0.0033  0.01
K2 0.2261 0.7500 0.4967  0.01
K3 0.7739 0.2500 0.5033  0.01
K4 0.2739 0.2500 0.9967  0.01
Se1 0.0878 0.7500 0.1203  0.11
Se2 0.4514 0.7500 0.1277  0.11
Se3 0.7648 0.2500 0.1835  0.13
Se4 0.2648 0.2500 0.3165  0.13
Se5 0.9514 0.7500 0.3723  0.11
Se6 0.5878 0.7500 0.3797  0.11
Se7 0.4122 0.2500 0.6203  0.11
Se8 0.0486 0.2500 0.6277  0.11
Se9 0.7352 0.7500 0.6835  0.13
Se10 0.2352 0.7500 0.8165  0.13
Se11 0.5486 0.2500 0.8723  0.11
Se12 0.9122 0.2500 0.8797  0.11
Y1 0.0167 0.2500 0.2449  0.00
Y2 0.5167 0.2500 0.2551  0.00
Y3 0.4833 0.7500 0.7449  0.00
Y4 0.9833 0.7500 0.7551  0.00

## Properties
polymorph energy (0 for the lowest one) = 0.0173 eV per atom
space-group type = Pnma, No. 62

These records have electronic total energy values of -5.916, -2.886, -6.230, -5.769, -4.443, -8.724, -8.188, -7.894, -6.655, -3.045, -8.229, -5.594 eV/atom, in the order they appear.